Density functional theory data (PBE) for a relaxed structure of ScCoAg2.

```
data_ScCoAg2
_cell_length_a 5.386
_cell_length_b 9.709
_cell_length_c 2.939
_cell_angle_alpha 90.00
_cell_angle_beta 117.69
_cell_angle_gamma 90.00
_symmetry_space_group_name_H-M 'C 1 2/m 1'
_symmetry_Int_Tables_number 12
loop_
_symmetry_equiv_pos_as_xyz
'x,y,z'
'-x,-y,-z'
'-x,y,-z'
'x,-y,z'
'x+1/2,y+1/2,z'
'-x+1/2,-y+1/2,-z'
'-x+1/2,y+1/2,-z'
'x+1/2,-y+1/2,z'
loop_
_atom_site_label
_atom_site_type_symbol
_atom_site_fract_x
_atom_site_fract_y
_atom_site_fract_z
Sc1 Sc 0.000 0.000 0.000
Co1 Co 0.000 0.500 0.000
Ag1 Ag 0.250 0.250 0.500
```

Summary:
**ΔH_f (0 K)**: 0.64 eV/f.u.
**Magnetic moment**: 0.7 μB per formula unit
**Crystal system**: monoclinic
**Energy**: -4.625 eV per atom